Compound: Li3SBr
Source: the Alexandria database
Functional: PBE
Structure: relaxed

Unit cell a=4.654 b=4.654 c=4.654 alpha=90.00 beta=90.00 gamma=90.00
Positions (direct):
S (0.500, 0.500, 0.500)
Br (0.000, 0.000, 0.000)
Li (0.000, 0.500, 0.000)
Li (0.000, 0.000, 0.500)
Li (0.500, 0.000, 0.000)

Results
E_tot   -16.047 eV for the cell shown
M_tot   0.000 μB per formula unit
Mass density   2188 kg/m³
Space-group type   Pm-3m, No. 221
Energy above the most stable polymorph in this dataset   2.06 eV per formula unit

=====

Compound: Sb2SeBr
Source: the Alexandria database
Functional: PBE
Structure: relaxed

Unit cell a=3.665 b=6.154 c=4.653 alpha=90.00 beta=90.00 gamma=90.00
Positions (direct):
Br (0.000, 0.500, 0.500)
Sb (0.000, 0.000, 0.000)
Sb (0.500, 0.500, 0.000)
Se (0.500, 0.000, 0.500)

Results
E_tot   -12.858 eV for the cell shown
M_tot   0.000 μB per formula unit
Mass density   6366 kg/m³
Space-group type   Pmmm, No. 47
Energy above the most stable polymorph in this dataset   1.10 eV per formula unit

=====

Compound: Li2CrRh2
Source: the Alexandria database
Functional: PBE
Structure: relaxed

Unit cell a=6.528 b=6.528 c=2.814 alpha=90.00 beta=90.00 gamma=90.00
Positions (direct):
Cr (0.000, 0.000, 0.000)
Cr (0.500, 0.500, 0.000)
Rh (0.193, 0.693, 0.500)
Rh (0.693, 0.807, 0.500)
Rh (0.807, 0.307, 0.500)
Rh (0.307, 0.193, 0.500)
Li (0.390, 0.890, 0.000)
Li (0.890, 0.610, 0.000)
Li (0.610, 0.110, 0.000)
Li (0.110, 0.390, 0.000)

Results
E_tot   -54.301 eV for the cell shown
M_tot   0.047 μB per formula unit
Mass density   7525 kg/m³
Formation enthalpy at 0 K   0.201 eV per atom
Space-group type   P4/mbm, No. 127
Energy above the most stable polymorph in this dataset   0.00 eV per formula unit

=====

Compound: Rb3Pu3CuTe8
Source: the Alexandria database
Functional: PBE
Structure: relaxed

Unit cell a=9.020 b=8.849 c=9.968 alpha=115.26 beta=90.00 gamma=120.64
Last column: magnetic moment on the atom in μB.
Positions (direct):
Rb (0.000, 0.000, 0.000)  -0.01
Rb (0.000, 0.500, 0.000)  -0.01
Rb (0.500, 0.500, 0.000)  -0.01
Pu (0.500, 0.000, 0.500)  4.99
Pu (0.500, 0.500, 0.500)  5.03
Pu (0.000, 0.500, 0.500)  5.03
Cu (0.000, 0.000, 0.500)  -0.08
Te (0.266, 0.533, 0.299)  -0.13
Te (0.734, 0.467, 0.701)  -0.13
Te (0.799, 0.598, 0.330)  -0.14
Te (0.201, 0.402, 0.670)  -0.14
Te (0.768, 0.039, 0.308)  -0.20
Te (0.232, 0.961, 0.692)  -0.20
Te (0.271, 0.039, 0.308)  -0.20
Te (0.729, 0.961, 0.692)  -0.20

Results
E_tot   -87.073 eV for the cell shown
M_tot   12.917 μB per formula unit
Mass density   5790 kg/m³
Space-group type   C2/m, No. 12

=====

Compound: YTlPbF2
Source: the Alexandria database
Functional: PBE
Structure: relaxed

Unit cell a=4.418 b=4.418 c=6.691 alpha=90.00 beta=90.00 gamma=90.00
Positions (direct):
Pb (0.000, 0.000, 0.500)
Y (0.000, 0.000, 0.000)
Tl (0.500, 0.500, 0.500)
F (0.000, 0.500, 0.000)
F (0.500, 0.000, 0.000)

Results
E_tot   -26.697 eV for the cell shown
M_tot   0.000 μB per formula unit
Mass density   6847 kg/m³
Space-group type   P4/mmm, No. 123

=====

Compound: TeAs2Rh
Source: the Alexandria database
Functional: PBE
Structure: relaxed

Unit cell a=4.722 b=4.723 c=4.723 alpha=71.12 beta=69.35 gamma=108.88
Positions (direct):
As (0.000, 0.000, 0.000)
As (0.500, 0.000, 0.500)
Te (0.500, 0.500, 0.000)
Rh (0.000, 0.500, 0.500)

Results
E_tot   -19.553 eV for the cell shown
M_tot   0.000 μB per formula unit
Mass density   7790 kg/m³
Space-group type   I4/mmm, No. 139

=====

Compound: Fe3ReRh4
Source: the Alexandria database
Functional: PBE
Structure: relaxed

Unit cell a=4.591 b=5.419 c=8.661 alpha=90.00 beta=90.00 gamma=90.00
Last column: magnetic moment on the atom in μB.
Positions (direct):
Re (0.000, 0.500, 0.000)  -0.46
Re (0.000, 0.500, 0.500)  -0.46
Rh (0.500, 0.750, 0.000)  0.20
Rh (0.500, 0.750, 0.500)  0.20
Rh (0.500, 0.250, 0.000)  0.20
Rh (0.500, 0.250, 0.500)  0.20
Rh (0.147, 0.754, 0.750)  0.15
Rh (0.853, 0.754, 0.250)  0.15
Rh (0.853, 0.246, 0.250)  0.15
Rh (0.147, 0.246, 0.750)  0.15
Fe (0.000, 0.000, 0.000)  2.58
Fe (0.000, 0.000, 0.500)  2.58
Fe (0.656, 0.000, 0.750)  2.74
Fe (0.344, 0.000, 0.250)  2.74
Fe (0.659, 0.500, 0.750)  2.50
Fe (0.341, 0.500, 0.250)  2.50

Results
E_tot   -135.114 eV for the cell shown
M_tot   7.970 μB per formula unit
Mass density   11796 kg/m³
Formation enthalpy at 0 K   -0.039 eV per atom
Space-group type   Pmma, No. 51

=====

Compound: BaAcLa2In4
Source: the Alexandria database
Functional: PBE
Structure: relaxed

Unit cell a=5.746 b=5.746 c=9.981 alpha=73.27 beta=73.27 gamma=60.00
Positions (direct):
Ba (0.000, 0.000, 0.000)
Ac (0.500, 0.500, 0.500)
La (0.748, 0.748, 0.755)
La (0.252, 0.252, 0.245)
In (0.377, 0.377, 0.868)
In (0.873, 0.873, 0.380)
In (0.127, 0.127, 0.620)
In (0.623, 0.623, 0.132)

Results
E_tot   -30.171 eV for the cell shown
M_tot   0.000 μB per formula unit
Mass density   6796 kg/m³
Formation enthalpy at 0 K   -0.416 eV per atom
Space-group type   R-3m, No. 166